[1]
Mg2AlGa5: optimized geometry, PBE.

Unit cell a=4.328 b=5.698 c=12.014 alpha=90.00 beta=90.00 gamma=90.00
Sites, in units of the cell vectors:
Ga1 0.500 0.725 0.885
Ga2 0.500 0.225 0.615
Ga3 0.000 0.494 0.239
Ga4 0.000 0.994 0.261
Ga5 0.000 0.006 0.739
Ga6 0.500 0.775 0.385
Ga7 0.000 0.000 0.000
Ga8 0.500 0.275 0.115
Ga9 0.000 0.500 0.500
Ga10 0.000 0.506 0.761
Mg1 0.500 0.226 0.866
Mg2 0.500 0.274 0.366
Mg3 0.500 0.774 0.134
Mg4 0.500 0.726 0.634
Al1 0.000 0.500 0.000
Al2 0.000 0.000 0.500

Summary:
**Mass density**: 4.756 Mg/m³
**N(E_F)**: 0.335 states/eV/atom
**E**: -22.66 eV/f.u.
**ΔE_f**: -0.074 eV/atom

[2]
K4In3GeO8: optimized geometry, PBE.

Unit cell a=6.684 b=7.280 c=6.684 alpha=117.33 beta=120.00 gamma=90.00
Sites, in units of the cell vectors:
K1 0.000 0.000 0.000
K2 0.500 0.000 0.000
K3 0.000 0.000 0.500
K4 0.500 0.000 0.500
O1 0.781 0.320 0.038
O2 0.257 0.320 0.038
O3 0.728 0.685 0.457
O4 0.219 0.680 0.962
O5 0.272 0.315 0.543
O6 0.781 0.320 0.563
O7 0.219 0.680 0.437
O8 0.743 0.680 0.962
In1 0.500 0.500 0.500
In2 0.500 0.500 0.000
In3 0.000 0.500 0.500
Ge1 0.000 0.500 0.000

Summary:
**Mass density**: 4.877 Mg/m³
**Formation energy (no corrections)**: -1.480 eV per atom
**N(E_F)**: 0.107 states/eV/atom
**E**: -80.57 eV/f.u.